(1)
Computed, not measured: crystalline ZrIn2As at its relaxed geometry at the GGA-PBEsol level of DFT.

Cell lengths 4.9435, 4.9435, 4.9435 Å; angles 60.00, 60.00, 60.00 degrees
Closest atoms and distances in Å follow each position.
Element x y z (fractional)
In  0.0000  0.0000  0.0000  4 In 3.03, 4 Zr 3.03
As  0.5000  0.5000  0.5000  4 Zr 3.03, 4 In 3.03
Zr  0.2500  0.2500  0.2500  4 In 3.03, 4 As 3.03
In  0.7500  0.7500  0.7500  4 In 3.03, 4 As 3.03

Total DFT energy (no corrections): -20.17 eV per cell
SG: F-43m, No. 216
Calculated volume: 85 Å³/f.u.
DOS(E_F): 0.695 states/eV/atom
Crystal system: cubic

(2)
Computed, not measured: crystalline ZrInAs3 at its relaxed geometry at the GGA-PBEsol level of DFT.

Cell lengths 5.1395, 5.1395, 5.1395 Å; angles 90.00, 90.00, 90.00 degrees
Closest atoms and distances in Å follow each position.
Element x y z (fractional)
Zr  0.0000  0.0000  0.0000  6 As 2.57
In  0.5000  0.5000  0.5000  12 As 3.63
As  0.0000  0.5000  0.0000  2 Zr 2.57
As  0.5000  0.0000  0.0000  2 Zr 2.57
As  0.0000  0.0000  0.5000  2 Zr 2.57

Total DFT energy (no corrections): -26.69 eV per cell
SG: Pm-3m, No. 221
Calculated volume: 136 Å³/f.u.
DOS(E_F): 0.820 states/eV/atom
Crystal system: cubic
Offset from the most stable computed form: 0.0 meV/atom

(3)
Computed, not measured: crystalline ZrIn2As at its relaxed geometry at the GGA-PBEsol level of DFT.

Cell lengths 3.0909, 5.3455, 5.1986 Å; angles 90.00, 90.00, 100.63 degrees
Closest atoms and distances in Å follow each position.
Element x y z (fractional)
Zr  0.0000  0.5000  0.5000  2 As 2.83, 2 Zr 3.09
In  0.3312  0.2434  0.0000  3 In 2.75-3.00, 2 As 3.00
In  0.6688  0.7566  0.0000  3 In 2.75-3.00, 2 As 3.00
As  0.5000  0.0000  0.5000  2 Zr 2.83, 4 In 3.00, 2 As 3.09

Total DFT energy (no corrections): -20.71 eV per cell
SG: P2/m, No. 10
Calculated volume: 84 Å³/f.u.
DOS(E_F): 0.420 states/eV/atom
Crystal system: monoclinic

(4)
Computed, not measured: crystalline ZrIn2As at its relaxed geometry at the GGA-PBEsol level of DFT.

Cell lengths 4.0557, 4.0724, 5.0109 Å; angles 90.07, 90.00, 90.00 degrees
Closest atoms and distances in Å follow each position.
Element x y z (fractional)
As  0.0000  0.5000  0.5000  4 Zr 2.87
In  0.0000  0.0000  0.0000  4 In 2.87
Zr  0.5000  0.0000  0.5000  4 As 2.87
In  0.5000  0.5000  0.0000  4 In 2.87

Total DFT energy (no corrections): -21.18 eV per cell
SG: P2/m, No. 10
Calculated volume: 83 Å³/f.u.
DOS(E_F): 0.538 states/eV/atom
Crystal system: monoclinic

| no. | ΔE_f (kJ per mole of atoms) |
| --- | --- |
| 1 | -0.2 |
| 2 | 13.5 |
| 3 | -13.3 |
| 4 | -24.5 |